Density functional theory data (PBE+U) for an optimized crystal structure of MgCrN2O.

Lattice parameters (Å, degrees): 3.927 3.927 3.772 90.00 90.00 90.00
Space group P4/mmm (No. 123)
Symmetry-distinct sites (fractional):
Mg 0.000 0.000 0.000 [1 per cell]
Cr 0.500 0.500 0.500 [1 per cell]
N 0.000 0.500 0.000 [2 per cell]
O 0.000 0.000 0.500 [1 per cell]

Output
spin magnetization = 0.30 Bohr magnetons per cell
density = 3.4 g cm⁻³
N(E_F) = 5.55 states/eV/cell
crystal system = tetragonal
total energy = -24.12 eV per cell